No. 1
A plane-wave DFT calculation with GGA-PBE was carried out for a relaxed LuPuVRu crystal.

E in eV/f.u.: -37.25
Energy of formation in eV per atom: -0.001

Cell: 6.753 6.753 6.753 Å, 90.00 90.00 90.00°
Space group F-43m (No. 216)
Unique sites:
Lu1 0.000 0.000 0.000 [4 per cell]
Pu1 0.000 0.000 0.500 [4 per cell]
V1 0.250 0.250 0.750 [4 per cell]
Ru1 0.250 0.250 0.250 [4 per cell]



No. 2
A plane-wave DFT calculation with GGA-PBE was carried out for a relaxed MgBeSi2 crystal.

Energy relative to the lowest polymorph listed for this composition in meV per atom: 79
E in eV/f.u.: -15.45
Formation energy from raw total energies in eV per atom: 0.180

Cell: 4.691 5.556 5.728 Å, 66.91 66.79 69.78°
Space group P1 (No. 1)
Unique sites:
Mg1 0.000 0.000 0.000 [1 per cell]
Mg2 0.097 0.511 0.508 [1 per cell]
Be1 0.009 0.076 0.419 [1 per cell]
Be2 0.487 0.843 0.167 [1 per cell]
Si1 0.469 0.558 0.903 [1 per cell]
Si2 0.517 0.940 0.504 [1 per cell]
Si3 0.566 0.175 0.762 [1 per cell]
Si4 0.903 0.482 0.096 [1 per cell]



No. 3
A plane-wave DFT calculation with GGA-PBE was carried out for a relaxed Ca4PAu2 crystal.

E in eV/f.u.: -24.69
Energy of formation in eV per atom: -0.674

Cell: 5.485 5.485 14.533 Å, 90.00 90.00 90.00°
Space group I4/mmm (No. 139)
Unique sites:
Ca1 0.000 0.000 0.192 [4 per cell]
Ca2 0.000 0.500 0.000 [4 per cell]
P1 0.000 0.000 0.000 [2 per cell]
Au1 0.000 0.000 0.394 [4 per cell]



Number 1: mass density 12.32 g/cm3. Number 2: mass density 2.42 g/cm3. Number 3: mass density 4.44 g/cm3.